# 1
First-principles (PBE) data for a geometry-optimized LaPm12Tl3 structure, as listed in Alexandria.

Output
The density of states at the Fermi level comes out at 23.8 states/eV/cell. The value obtained for the total energy is -4.451 eV/atom.

Structure (POSCAR):
```
LaPm12Tl3
1.0
-3.999 -2.212 1.964
2.937 -2.570 3.084
-1.467 14.984 13.886
Pm Tl La
12 3 1
Direct
0.500 0.500 0.500
0.500 0.000 0.622
0.000 0.500 0.378
0.000 0.500 0.622
0.500 0.500 0.257
0.000 0.500 0.133
0.500 0.000 0.867
0.000 0.500 0.867
0.500 0.000 0.133
0.500 0.500 0.000
0.500 0.500 0.743
0.500 0.000 0.378
0.000 0.000 0.500
0.000 0.000 0.258
0.000 0.000 0.742
0.000 0.000 0.000
```

---

# 2
First-principles (PBE) data for a geometry-optimized La2Pm2Tl3 structure, as listed in Alexandria.

Output
The density of states at the Fermi level comes out at 8.2 states/eV/cell. The value obtained for the energy relative to the lowest polymorph listed for this composition is 0.0 kJ per mole of atoms. The value obtained for the total energy is -4.060 eV/atom.

Structure (POSCAR):
```
La2Pm2Tl3
1.0
3.598 0.000 0.478
0.000 3.616 0.000
-0.386 0.000 16.703
La Tl Pm
2 3 2
Direct
0.299 0.500 0.402
0.701 0.500 0.598
0.867 0.000 0.267
0.000 0.000 0.000
0.133 0.000 0.733
0.567 0.500 0.867
0.433 0.500 0.133
```

---

# 3
First-principles (PBE) data for a geometry-optimized LaPmTl2 structure, as listed in Alexandria.

Output
The density of states at the Fermi level comes out at 3.0 states/eV/cell. The value obtained for the total energy is -4.005 eV/atom.

Structure (POSCAR):
```
LaPmTl2
1.0
-0.099 5.022 2.402
-2.514 4.260 -2.556
-4.777 2.028 2.015
Tl Pm La
2 1 1
Direct
0.500 0.500 0.500
0.000 0.000 0.000
0.250 0.250 0.250
0.750 0.750 0.750
```

---

# 4
First-principles (PBE) data for a geometry-optimized La5Pm2Tl4 structure, as listed in Alexandria.

Output
The density of states at the Fermi level comes out at 14.1 states/eV/cell. The value obtained for the energy relative to the lowest polymorph listed for this composition is 0.0 kJ per mole of atoms. The value obtained for the total energy is -4.211 eV/atom.

Structure (POSCAR):
```
La5Pm2Tl4
1.0
3.555 0.000 0.000
0.000 8.965 0.280
0.000 0.701 10.933
Tl Pm La
4 2 5
Direct
0.500 0.799 0.876
0.500 0.201 0.124
0.500 0.244 0.578
0.500 0.756 0.422
0.000 0.079 0.362
0.000 0.921 0.638
0.000 0.540 0.664
0.000 0.500 0.000
0.000 0.842 0.140
0.000 0.158 0.860
0.000 0.460 0.336
```